{"formula": "Sm8GeIr3Br4", "functional": "PBE", "state": "optimized geometry", "raw_formation_energy_ev_per_atom": -1.07, "dos_at_fermi_per_ev_fu": 10.7, "magnetic_moment_mub_per_cell": 0.0, "lattice": [[-5.6887, -5.8020, 1.9514], [1.5198, -4.1334, -7.8593], [6.5489, 1.2886, 5.0298]], "species": ["Sm", "Br", "Sm", "Br", "Sm", "Ir", "Sm", "Sm", "Br", "Sm", "Ge", "Sm", "Ir", "Sm", "Br", "Ir"], "fractional_positions": [[0.2812, 0.3036, 0.0425], [0.0000, 0.0000, 0.5000], [0.2678, 0.3031, 0.5355], [0.0000, 0.0000, 0.0000], [0.7613, 0.3036, 0.0425], [0.0000, 0.5000, 0.5000], [0.7188, 0.6964, 0.9575], [0.7322, 0.6969, 0.4645], [0.5000, 0.0000, 0.0000], [0.2387, 0.6965, 0.4774], [0.0000, 0.5000, 0.0000], [0.2387, 0.6964, 0.9575], [0.5000, 0.5000, 0.5000], [0.7613, 0.3035, 0.5226], [0.5000, 0.0000, 0.5000], [0.5000, 0.5000, 0.0000]]}